The following is a DFT calculation (PBE-GGA) of a geometry-optimized TeICl2 structure.

The calculation puts the offset from the most stable computed form at 2.01 eV/f.u. The calculation puts the density of states at the Fermi level at 11.327 states/eV per cell.

The structure belongs to space group I-42d (No. 122); the cell edges are 4.824, 4.824 and 19.753 Å and the angles 90.00°, 90.00° and 90.00°. The distinct sites, in fractional coordinates, are Te at (0.000, 0.000, 0.000), I at (0.000, 0.000, 0.500) and Cl at (0.197, 0.250, 0.125).

The following is a DFT calculation (PBE-GGA) of a geometry-optimized CaNbNiRh2 structure.

The calculation puts the density of states at the Fermi level at 4.718 states/eV per cell. The calculation puts the energy relative to the elements at 1.1658 eV/atom.

The structure belongs to space group P4/mmm (No. 123); the cell edges are 4.672, 4.672 and 5.430 Å and the angles 90.00°, 90.00° and 90.00°. The distinct sites, in fractional coordinates, are Ca at (0.000, 0.000, 0.000), Nb at (0.000, 0.000, 0.500), Ni at (0.500, 0.500, 0.000) and Rh at (0.000, 0.500, 0.500).